# 1
Density functional theory data (PBE) for a relaxed RbZnSn2 crystal.

Geometry as POSCAR:
```
RbZnSn2
1.0
-2.641 -3.716 -0.171
-0.012 -2.620 -3.735
4.631 -6.163 1.523
Zn Rb Sn
1 1 2
direct
0.500 0.500 0.500
0.000 0.000 0.000
0.212 0.212 0.363
0.788 0.788 0.637
```

The value obtained for the density of states at the Fermi level is 0.57 states/eV per atom. For the energy relative to the elements, the calculation gives -70 meV per atom. The value obtained for the total energy is -10.528 eV for the cell shown. As for the magnetization: 0.0 μB per formula unit. As for the space-group type: No. 166.

# 2
Density functional theory data (PBE) for a relaxed SrCrBr2 crystal.

Geometry as POSCAR:
```
SrCrBr2
1.0
-6.056 2.164 1.918
-5.619 -3.665 -0.168
6.398 -0.240 2.012
Sr Br Cr
1 2 1
direct
0.750 0.250 0.500
0.250 0.750 0.500
0.000 0.000 0.000
0.500 0.500 0.000
```

The energy relative to the elements, uncorrected comes out at -0.569 eV/atom. The value obtained for the density of states at the Fermi level is 0.41 states/eV per atom. The value obtained for the total energy is -16.926 eV for the cell shown. As for the magnetization: 5.4 μB per formula unit. As for the space-group type: No. 119. For the distance to the lowest polymorph of the same formula, the calculation gives 123.5 meV/atom.

# 3
Density functional theory data (PBE) for a relaxed Hf6Ir3Rh crystal.

Geometry as POSCAR:
```
Hf6Ir3Rh
1.0
-3.967 5.604 1.606
-5.447 -3.450 -1.417
-0.565 -2.535 8.345
Hf Ir Rh
12 6 2
direct
0.726 0.426 0.248
0.842 0.650 0.932
0.333 0.841 0.067
0.774 0.926 0.252
0.226 0.074 0.748
0.274 0.574 0.752
0.167 0.341 0.433
0.342 0.850 0.432
0.667 0.159 0.933
0.833 0.659 0.567
0.158 0.350 0.068
0.658 0.150 0.568
0.545 0.851 0.772
0.455 0.149 0.228
0.045 0.649 0.272
0.500 0.500 0.000
0.955 0.351 0.728
0.000 0.000 0.500
0.000 0.000 0.000
0.500 0.500 0.500
```

The value obtained for the density of states at the Fermi level is 0.79 states/eV per atom. For the energy relative to the elements, the calculation gives -566 meV per atom. The value obtained for the total energy is -198.621 eV for the cell shown. As for the magnetization: 0.0 μB per formula unit. As for the space-group type: No. 14.

# 4
Density functional theory data (PBE) for a relaxed TlAgSe2 crystal.

Geometry as POSCAR:
```
TlAgSe2
1.0
-3.230 -1.098 2.126
0.270 -0.434 3.987
-2.717 6.231 2.889
Ag Tl Se
1 1 2
direct
0.669 0.669 0.994
0.499 0.499 0.502
0.261 0.261 0.216
0.071 0.071 0.788
```

The energy relative to the elements, uncorrected comes out at -0.063 eV/atom. The value obtained for the density of states at the Fermi level is 0.66 states/eV per atom. The value obtained for the total energy is -12.439 eV for the cell shown. As for the magnetization: 0.0 μB per formula unit. As for the space-group type: No. 160.

# 5
Density functional theory data (PBE) for a relaxed BrF crystal.

Geometry as POSCAR:
```
BrF
1.0
10.510 0.000 0.000
0.000 4.565 0.000
0.000 0.000 7.024
Br F
6 6
direct
0.161 0.143 0.500
0.500 0.383 0.500
0.661 0.857 0.000
0.839 0.143 0.500
0.339 0.857 0.000
0.000 0.617 0.000
0.808 0.572 0.000
0.192 0.572 0.000
0.308 0.428 0.500
0.692 0.428 0.500
0.000 0.895 0.500
0.500 0.105 0.000
```

The energy relative to the elements, uncorrected comes out at -0.438 eV/atom. The value obtained for the total energy is -26.522 eV for the cell shown. As for the magnetization: 0.0 μB per formula unit. As for the space-group type: No. 59.

# 6
Density functional theory data (PBE) for a relaxed Sc4BeZn crystal.

Geometry as POSCAR:
```
Sc4BeZn
1.0
2.266 -5.059 1.178
-1.536 -2.767 4.701
-3.171 -4.682 -0.377
Be Sc Zn
1 4 1
direct
0.000 0.000 0.000
0.876 0.375 0.375
0.375 0.375 0.876
0.375 0.876 0.375
0.375 0.375 0.375
0.750 0.750 0.750
```

The value obtained for the density of states at the Fermi level is 0.84 states/eV per atom. For the energy relative to the elements, the calculation gives 570 meV per atom. The value obtained for the total energy is -26.907 eV for the cell shown. As for the magnetization: 0.0 μB per formula unit. As for the space-group type: No. 216.

# 7
Density functional theory data (PBE) for a relaxed MnTlTe2 crystal.

Geometry as POSCAR:
```
MnTlTe2
1.0
9.116 0.000 0.000
0.000 3.935 0.000
0.000 0.000 14.683
Tl Mn Te
4 4 8
direct
0.409 0.750 0.098
0.091 0.250 0.598
0.591 0.250 0.902
0.909 0.750 0.402
0.502 0.750 0.606
0.998 0.250 0.106
0.498 0.250 0.394
0.002 0.750 0.894
0.185 0.250 0.956
0.315 0.750 0.456
0.606 0.750 0.288
0.106 0.750 0.212
0.685 0.250 0.544
0.815 0.750 0.044
0.394 0.250 0.712
0.894 0.250 0.788
```

The energy relative to the elements, uncorrected comes out at -0.164 eV/atom. The value obtained for the density of states at the Fermi level is 0.32 states/eV per atom. The value obtained for the total energy is -73.901 eV for the cell shown. As for the magnetization: 4.0 μB per formula unit. As for the space-group type: No. 62.

# 8
Density functional theory data (PBE) for a relaxed Li2NpScTe4 crystal.

Geometry as POSCAR:
```
Li2NpScTe4
1.0
4.277 0.000 0.000
0.000 7.403 0.128
0.000 -2.587 6.969
Te Li Sc Np
4 2 1 1
direct
0.500 0.265 0.255
0.000 0.737 0.248
0.000 0.263 0.752
0.500 0.735 0.745
0.500 0.000 0.500
0.000 0.500 0.500
0.500 0.500 0.000
0.000 0.000 0.000
```

The energy relative to the elements, uncorrected comes out at -0.968 eV/atom. The value obtained for the density of states at the Fermi level is 1.32 states/eV per atom. The value obtained for the total energy is -43.414 eV for the cell shown. As for the magnetization: 4.0 μB per formula unit. As for the space-group type: No. 10.

# 9
Density functional theory data (PBE) for a relaxed Er2Tl3Br9 crystal.

Geometry as POSCAR:
```
Er2Tl3Br9
1.0
-2.678 -7.817 5.992
8.890 -4.960 -0.729
4.029 3.826 8.562
Tl Er Br
6 4 18
direct
0.750 0.041 0.459
0.541 0.250 0.959
0.250 0.959 0.541
0.041 0.459 0.750
0.459 0.750 0.041
0.959 0.541 0.250
0.148 0.148 0.148
0.352 0.352 0.352
0.852 0.852 0.852
0.648 0.648 0.648
0.933 0.077 0.723
0.405 0.095 0.250
0.067 0.923 0.277
0.905 0.750 0.595
0.723 0.933 0.077
0.423 0.567 0.777
0.567 0.777 0.423
0.077 0.723 0.933
0.577 0.433 0.223
0.777 0.423 0.567
0.595 0.905 0.750
0.923 0.277 0.067
0.250 0.405 0.095
0.223 0.577 0.433
0.433 0.223 0.577
0.277 0.067 0.923
0.750 0.595 0.905
0.095 0.250 0.405
```

The energy relative to the elements, uncorrected comes out at -1.418 eV/atom. The value obtained for the density of states at the Fermi level is 0.00 states/eV per atom. The value obtained for the total energy is -102.269 eV for the cell shown. As for the magnetization: 0.0 μB per formula unit. As for the space-group type: No. 167.

# 10
Density functional theory data (PBE) for a relaxed DyScGa2 crystal.

Geometry as POSCAR:
```
DyScGa2
1.0
-0.519 -2.038 2.769
0.789 -2.796 -1.911
6.622 0.680 1.741
Ga Sc Dy
2 1 1
direct
0.000 0.000 0.229
0.000 0.000 0.771
0.500 0.500 0.000
0.500 0.500 0.500
```

The value obtained for the density of states at the Fermi level is 0.52 states/eV per atom. For the energy relative to the elements, the calculation gives -587 meV per atom. The value obtained for the total energy is -19.334 eV for the cell shown. As for the magnetization: 0.0 μB per formula unit. As for the space-group type: No. 123. For the distance to the lowest polymorph of the same formula, the calculation gives 0.0 meV/atom.

# 11
Density functional theory data (PBE) for a relaxed ReP3 crystal.

Geometry as POSCAR:
```
ReP3
1.0
-3.225 -0.359 2.634
2.238 -2.844 2.352
2.313 4.691 3.471
P Re
6 2
direct
0.500 0.780 0.255
0.000 0.220 0.755
0.500 0.780 0.745
0.500 0.390 0.000
0.000 0.610 0.500
0.000 0.220 0.245
0.500 0.292 0.500
0.000 0.708 0.000
```

The value obtained for the density of states at the Fermi level is 0.43 states/eV per atom. For the energy relative to the elements, the calculation gives 345 meV per atom. The value obtained for the total energy is -54.595 eV for the cell shown. As for the magnetization: 0.0 μB per formula unit. As for the space-group type: No. 59. For the distance to the lowest polymorph of the same formula, the calculation gives 680.0 meV/atom.

# 12
Density functional theory data (PBE) for a relaxed KTl4Ga crystal.

Geometry as POSCAR:
```
KTl4Ga
1.0
-2.463 1.259 3.883
1.521 -7.806 3.496
7.769 3.248 3.874
K Tl Ga
2 8 2
direct
0.000 0.388 0.250
0.000 0.612 0.750
0.500 0.302 0.561
0.000 0.000 0.000
0.500 0.302 0.939
0.500 0.063 0.250
0.500 0.937 0.750
0.500 0.698 0.439
0.000 0.000 0.500
0.500 0.698 0.061
0.000 0.790 0.250
0.000 0.210 0.750
```

The value obtained for the density of states at the Fermi level is 0.48 states/eV per atom. For the energy relative to the elements, the calculation gives -57 meV per atom. The value obtained for the total energy is -27.858 eV for the cell shown. As for the magnetization: 0.0 μB per formula unit. As for the space-group type: No. 51. For the distance to the lowest polymorph of the same formula, the calculation gives 0.0 meV/atom.

# 13
Density functional theory data (PBE) for a relaxed La2InAs3Pd4 crystal.

Geometry as POSCAR:
```
La2InAs3Pd4
1.0
-3.178 -0.185 2.917
2.923 -0.183 3.173
-0.031 11.027 0.666
Pd In As La
4 1 3 2
direct
0.000 0.000 0.000
0.500 0.000 0.647
0.000 0.500 0.353
0.500 0.500 0.000
0.500 0.500 0.500
0.000 0.000 0.500
0.500 0.000 0.869
0.000 0.500 0.131
0.500 0.000 0.230
0.000 0.500 0.770
```

The value obtained for the density of states at the Fermi level is 0.50 states/eV per atom. For the energy relative to the elements, the calculation gives -892 meV per atom. The value obtained for the total energy is -56.235 eV for the cell shown. As for the magnetization: 0.0 μB per formula unit. As for the space-group type: No. 115.

# 14
Density functional theory data (PBE) for a relaxed SrPt2Rh2 crystal.

Geometry as POSCAR:
```
SrPt2Rh2
1.0
-1.128 3.719 -1.280
-3.479 -1.565 -1.479
-4.942 2.057 3.791
Pt Rh Sr
2 2 1
direct
0.393 0.393 0.214
0.607 0.607 0.786
0.250 0.750 0.500
0.750 0.250 0.500
0.000 0.000 0.000
```

The value obtained for the density of states at the Fermi level is 1.71 states/eV per atom. For the energy relative to the elements, the calculation gives -141 meV per atom. The value obtained for the total energy is -29.170 eV for the cell shown. As for the magnetization: 0.0 μB per formula unit. As for the space-group type: No. 139. For the distance to the lowest polymorph of the same formula, the calculation gives 33.5 meV/atom.

# 15
Density functional theory data (PBE) for a relaxed CePm2SmY6 crystal.

Geometry as POSCAR:
```
CePm2SmY6
1.0
9.038 0.000 1.016
0.000 6.754 0.000
-2.375 -3.377 5.243
Pm Sm Y Ce
2 1 6 1
direct
0.829 0.912 0.824
0.171 0.088 0.176
0.500 0.000 0.000
0.195 0.585 0.655
0.805 0.930 0.345
0.420 0.633 0.266
0.805 0.415 0.345
0.195 0.070 0.655
0.580 0.367 0.734
0.000 0.500 0.000
```

The value obtained for the density of states at the Fermi level is 2.10 states/eV per atom. For the energy relative to the elements, the calculation gives 236 meV per atom. The value obtained for the total energy is -56.576 eV for the cell shown. As for the magnetization: 1.2 μB per formula unit. As for the space-group type: No. 12.

# 16
Density functional theory data (PBE) for a relaxed KNaLiHg crystal.

Geometry as POSCAR:
```
KNaLiHg
1.0
-1.590 4.608 2.853
-5.486 1.057 0.826
-2.227 -0.506 5.166
K Li Hg Na
1 1 1 1
direct
0.500 0.500 0.500
0.000 0.000 0.000
0.750 0.750 0.750
0.250 0.250 0.250
```

The value obtained for the density of states at the Fermi level is 0.41 states/eV per atom. For the energy relative to the elements, the calculation gives -52 meV per atom. The value obtained for the total energy is -4.841 eV for the cell shown. As for the magnetization: 0.0 μB per formula unit. As for the space-group type: No. 216.

# 17
Density functional theory data (PBE) for a relaxed NaFeI3 crystal.

Geometry as POSCAR:
```
NaFeI3
1.0
5.816 0.000 0.000
0.000 5.816 0.000
0.000 0.000 5.816
I Na Fe
3 1 1
direct
0.500 0.000 0.000
0.000 0.000 0.500
0.000 0.500 0.000
0.000 0.000 0.000
0.500 0.500 0.500
```

The energy relative to the elements, uncorrected comes out at 0.449 eV/atom. The value obtained for the density of states at the Fermi level is 1.67 states/eV per atom. The value obtained for the total energy is -12.187 eV for the cell shown. As for the magnetization: 3.9 μB per formula unit. As for the space-group type: No. 221. For the distance to the lowest polymorph of the same formula, the calculation gives 988.9 meV/atom.

# 18
Density functional theory data (PBE) for a relaxed MnAlCd2 crystal.

Geometry as POSCAR:
```
MnAlCd2
1.0
7.034 0.035 0.003
5.145 4.796 -0.003
-5.742 -3.291 2.382
Cd Al Mn
2 1 1
direct
0.934 0.934 0.000
0.566 0.566 0.000
0.250 0.750 0.500
0.750 0.250 0.500
```

The value obtained for the density of states at the Fermi level is 0.64 states/eV per atom. For the energy relative to the elements, the calculation gives 108 meV per atom. The value obtained for the total energy is -14.311 eV for the cell shown. As for the magnetization: 2.8 μB per formula unit. As for the space-group type: No. 71.

# 19
Density functional theory data (PBE) for a relaxed Tb12TmTl3 crystal.

Geometry as POSCAR:
```
Tb12TmTl3
1.0
-4.123 1.997 -1.670
-2.586 -3.502 2.196
-1.225 11.180 16.391
Tb Tl Tm
12 3 1
direct
0.000 0.500 0.129
0.000 0.500 0.623
0.500 0.500 0.253
0.500 0.500 0.747
0.500 0.000 0.377
0.500 0.500 0.500
0.000 0.500 0.377
0.500 0.500 0.000
0.000 0.500 0.871
0.500 0.000 0.129
0.500 0.000 0.623
0.500 0.000 0.871
0.000 0.000 0.256
0.000 0.000 0.744
0.000 0.000 0.500
0.000 0.000 0.000
```

The value obtained for the density of states at the Fermi level is 1.34 states/eV per atom. For the energy relative to the elements, the calculation gives -131 meV per atom. The value obtained for the total energy is -69.233 eV for the cell shown. As for the magnetization: 0.0 μB per formula unit. As for the space-group type: No. 123.